Entry 1:
A plane-wave DFT calculation with PBE-GGA was carried out for a relaxed UAlCd crystal.

* E_tot: -5.227 eV/atom
* DOS(E_F): 5.6 states/eV per cell
* SG: P3m1, No. 156
* ΔE_f: 0.089 eV per atom

Unit cell a=2.9536 b=2.9536 c=8.1129 alpha=90.00 beta=90.00 gamma=120.00
Closest atoms and distances in Å follow each position.
Element x y z (fractional)
1 U 0.0000 0.0000 0.9870  6 U 2.95, 3 Al 3.12
2 Cd 0.6667 0.3333 0.3479  6 Cd 2.95, 3 Al 3.09
3 Al 0.3333 0.6667 0.6651  6 Al 2.95, 3 Cd 3.09, 3 U 3.12

Entry 2:
A plane-wave DFT calculation with PBE-GGA was carried out for a relaxed Al2VCd crystal.

* E_tot: -4.358 eV/atom
* DOS(E_F): 3.6 states/eV per cell
* SG: P4/mmm, No. 123
* ΔE_f: 0.021 eV per atom

Unit cell a=2.8207 b=2.8207 c=8.5604 alpha=90.00 beta=90.00 gamma=90.00
Closest atoms and distances in Å follow each position.
Element x y z (fractional)
1 V 0.5000 0.5000 0.0000  8 Al 2.70, 4 V 2.82
2 Al 0.0000 0.0000 0.7869  4 V 2.70, 4 Al 2.82
3 Al 0.0000 0.0000 0.2131  4 V 2.70, 4 Al 2.82
4 Cd 0.5000 0.5000 0.5000  4 Cd 2.82

Entry 3:
A plane-wave DFT calculation with PBE-GGA was carried out for a relaxed AlVCd3 crystal.

* E_tot: -2.237 eV/atom
* DOS(E_F): 3.0 states/eV per cell
* SG: Pm-3m, No. 221
* ΔE_f: 0.884 eV per atom

Unit cell a=5.3059 b=5.3059 c=5.3059 alpha=90.00 beta=90.00 gamma=90.00
Closest atoms and distances in Å follow each position.
Element x y z (fractional)
1 V 0.0000 0.0000 0.0000  6 Cd 2.65
2 Cd 0.5000 0.0000 0.0000  2 V 2.65
3 Cd 0.0000 0.5000 0.0000  2 V 2.65
4 Cd 0.0000 0.0000 0.5000  2 V 2.65
5 Al 0.5000 0.5000 0.5000  12 Cd 3.75

Entry 4:
A plane-wave DFT calculation with PBE-GGA was carried out for a relaxed Al2V2Cd crystal.

* E_tot: -5.221 eV/atom
* DOS(E_F): 7.4 states/eV per cell
* SG: P4/mbm, No. 127
* ΔE_f: 0.106 eV per atom

Unit cell a=7.1759 b=7.1759 c=3.1382 alpha=90.00 beta=90.00 gamma=90.00
Closest atoms and distances in Å follow each position.
Element x y z (fractional)
1 V 0.3292 0.1708 0.5000  6 Al 2.59-2.66
2 V 0.8292 0.3292 0.5000  6 Al 2.59-2.66
3 V 0.1708 0.6708 0.5000  6 Al 2.59-2.66
4 V 0.6708 0.8292 0.5000  6 Al 2.59-2.66
5 Al 0.1256 0.3744 0.0000  1 Al 2.55, 6 V 2.59-2.66, 2 Cd 2.83
6 Al 0.8744 0.6256 0.0000  1 Al 2.55, 6 V 2.59-2.66, 2 Cd 2.83
7 Al 0.6256 0.1256 0.0000  1 Al 2.55, 6 V 2.59-2.66, 2 Cd 2.83
8 Al 0.3744 0.8744 0.0000  1 Al 2.55, 6 V 2.59-2.66, 2 Cd 2.83
9 Cd 0.5000 0.5000 0.0000  4 Al 2.83, 8 V 3.09, 2 Cd 3.14
10 Cd 0.0000 0.0000 0.0000  4 Al 2.83, 8 V 3.09, 2 Cd 3.14

Entry 5:
A plane-wave DFT calculation with PBE-GGA was carried out for a relaxed AlV2Cd crystal.

* E_tot: -5.113 eV/atom
* DOS(E_F): 7.8 states/eV per cell
* SG: I-42d, No. 122
* ΔE_f: 0.611 eV per atom

Unit cell a=7.1606 b=7.1606 c=5.7118 alpha=51.18 beta=51.18 gamma=90.00
Closest atoms and distances in Å follow each position.
Element x y z (fractional)
1 Al 0.2500 0.7500 0.5000  4 V 2.57, 2 Cd 2.64
2 Al 0.5000 0.5000 0.0000  4 V 2.57, 2 Cd 2.64
3 Cd 0.7500 0.2500 0.5000  2 Al 2.64, 4 V 2.67
4 Cd 0.0000 0.0000 0.0000  2 Al 2.64, 4 V 2.67
5 V 0.1355 0.6250 0.2500  2 Al 2.57, 2 V 2.65, 2 Cd 2.67
6 V 0.8750 0.8645 0.7500  2 Al 2.57, 2 V 2.65, 2 Cd 2.67
7 V 0.3750 0.3855 0.7500  2 Al 2.57, 2 V 2.65, 2 Cd 2.67
8 V 0.6145 0.1250 0.2500  2 Al 2.57, 2 V 2.65, 2 Cd 2.67

Entry 6:
A plane-wave DFT calculation with PBE-GGA was carried out for a relaxed Al3VCd crystal.

* E_tot: -3.589 eV/atom
* DOS(E_F): 3.9 states/eV per cell
* SG: Pm-3m, No. 221
* ΔE_f: 0.663 eV per atom

Unit cell a=4.8679 b=4.8679 c=4.8679 alpha=90.00 beta=90.00 gamma=90.00
Closest atoms and distances in Å follow each position.
Element x y z (fractional)
1 Al 0.0000 0.0000 0.5000  2 V 2.43
2 Al 0.0000 0.5000 0.0000  2 V 2.43
3 Al 0.5000 0.0000 0.0000  2 V 2.43
4 Cd 0.5000 0.5000 0.5000  12 Al 3.44
5 V 0.0000 0.0000 0.0000  6 Al 2.43

Entry 7:
A plane-wave DFT calculation with PBE-GGA was carried out for a relaxed Al2VCd crystal.

* E_tot: -4.342 eV/atom
* DOS(E_F): 2.7 states/eV per cell
* SG: P4/mmm, No. 123
* ΔE_f: 0.038 eV per atom

Unit cell a=3.8513 b=4.1129 c=4.1129 alpha=90.00 beta=90.00 gamma=90.00
Closest atoms and distances in Å follow each position.
Element x y z (fractional)
1 Al 0.0000 0.0000 0.5000  4 Cd 2.82, 4 V 2.82, 4 Al 2.91
2 Al 0.0000 0.5000 0.0000  4 Cd 2.82, 4 V 2.82, 4 Al 2.91
3 Cd 0.5000 0.5000 0.5000  8 Al 2.82, 4 V 2.91
4 V 0.5000 0.0000 0.0000  8 Al 2.82, 4 Cd 2.91

Entry 8:
A plane-wave DFT calculation with PBE-GGA was carried out for a relaxed AlVCd3 crystal.

* E_tot: -2.241 eV/atom
* DOS(E_F): 6.4 states/eV per cell
* SG: Pm-3m, No. 221
* ΔE_f: 0.880 eV per atom

Unit cell a=5.0924 b=5.0924 c=5.0924 alpha=90.00 beta=90.00 gamma=90.00
Closest atoms and distances in Å follow each position.
Element x y z (fractional)
1 Cd 0.5000 0.0000 0.0000  2 Al 2.55
2 Cd 0.0000 0.0000 0.5000  2 Al 2.55
3 Cd 0.0000 0.5000 0.0000  2 Al 2.55
4 V 0.5000 0.5000 0.5000  12 Cd 3.60
5 Al 0.0000 0.0000 0.0000  6 Cd 2.55

Entry 9:
A plane-wave DFT calculation with PBE-GGA was carried out for a relaxed Al2VCd crystal.

* E_tot: -4.333 eV/atom
* DOS(E_F): 2.0 states/eV per cell
* SG: R-3m, No. 166
* ΔE_f: 0.046 eV per atom

Unit cell a=2.9001 b=2.9001 c=9.4501 alpha=81.17 beta=81.17 gamma=60.00
Closest atoms and distances in Å follow each position.
Element x y z (fractional)
1 Cd 0.5000 0.5000 0.5000  6 Cd 2.90, 6 Al 3.06
2 V 0.0000 0.0000 0.0000  6 Al 2.68, 6 V 2.90
3 Al 0.7417 0.7417 0.7750  3 V 2.68, 6 Al 2.90
4 Al 0.2583 0.2583 0.2250  3 V 2.68, 6 Al 2.90

Entry 10:
A plane-wave DFT calculation with PBE-GGA was carried out for a relaxed Al2V2Cd crystal.

* E_tot: -5.244 eV/atom
* DOS(E_F): 9.1 states/eV per cell
* SG: P4/mbm, No. 127
* ΔE_f: 0.084 eV per atom

Unit cell a=7.5929 b=7.5929 c=2.8602 alpha=90.00 beta=90.00 gamma=90.00
Closest atoms and distances in Å follow each position.
Element x y z (fractional)
1 V 0.1090 0.3910 0.0000  1 V 2.34
2 V 0.6090 0.1090 0.0000  1 V 2.34
3 V 0.8910 0.6090 0.0000  1 V 2.34
4 V 0.3910 0.8910 0.0000  1 V 2.34
5 Al 0.1847 0.6847 0.5000  6 V 2.64-2.71, 2 Al 2.86
6 Al 0.8153 0.3153 0.5000  6 V 2.64-2.71, 2 Al 2.86
7 Al 0.3153 0.1847 0.5000  6 V 2.64-2.71, 2 Al 2.86
8 Al 0.6847 0.8153 0.5000  6 V 2.64-2.71, 2 Al 2.86
9 Cd 0.5000 0.5000 0.0000  2 Cd 2.86, 4 V 3.08, 8 Al 3.12
10 Cd 0.0000 0.0000 0.0000  2 Cd 2.86, 4 V 3.08, 8 Al 3.12

Entry 11:
A plane-wave DFT calculation with PBE-GGA was carried out for a relaxed Al2VCd crystal.

* E_tot: -3.892 eV/atom
* DOS(E_F): 4.1 states/eV per cell
* SG: I-42d, No. 122
* ΔE_f: 0.488 eV per atom

Unit cell a=7.2202 b=7.2202 c=5.8308 alpha=51.75 beta=51.75 gamma=90.00
Closest atoms and distances in Å follow each position.
Element x y z (fractional)
1 Al 0.3750 0.3794 0.7500  2 V 2.63, 2 Cd 2.67, 2 Al 2.82
2 Al 0.8750 0.8706 0.7500  2 V 2.63, 2 Cd 2.67, 2 Al 2.82
3 Al 0.6206 0.1250 0.2500  2 V 2.63, 2 Cd 2.67, 2 Al 2.82
4 Al 0.1294 0.6250 0.2500  2 V 2.63, 2 Cd 2.67, 2 Al 2.82
5 Cd 0.7500 0.2500 0.5000  4 Al 2.67, 2 V 2.82
6 Cd 0.0000 0.0000 0.0000  4 Al 2.67, 2 V 2.82
7 V 0.2500 0.7500 0.5000  4 Al 2.63, 2 Cd 2.82
8 V 0.5000 0.5000 0.0000  4 Al 2.63, 2 Cd 2.82

Entry 12:
A plane-wave DFT calculation with PBE-GGA was carried out for a relaxed AlVCd crystal.

* E_tot: -4.345 eV/atom
* DOS(E_F): 5.7 states/eV per cell
* SG: Fmmm, No. 69
* ΔE_f: 0.247 eV per atom

Unit cell a=4.5446 b=5.2654 c=5.5889 alpha=79.89 beta=66.01 gamma=64.43
Closest atoms and distances in Å follow each position.
Element x y z (fractional)
1 V 0.7500 0.5000 0.5000  2 V 2.27
2 V 0.2500 0.5000 0.5000  2 V 2.27
3 Cd 0.1557 0.6886 0.0000  3 Cd 2.89-2.96, 4 V 2.93
4 Cd 0.8443 0.3114 0.0000  3 Cd 2.89-2.96, 4 V 2.93
5 Al 0.3223 0.0000 0.3554  2 Al 2.71, 4 V 2.73
6 Al 0.6777 0.0000 0.6446  2 Al 2.71, 4 V 2.73

Which value of DOS(E_F) does entry 8 give? 6.4 states/eV per cell

What is the ΔE_f in the sixth record? 0.663 eV per atom

Which value of E_tot does entry 5 give? -5.113 eV/atom